! Na2NiTeO6 PBE with a Hubbard U optimized geometry; values from VASP
&SYSTEM
  ibrav = 0, nat = 10, ntyp = 4
/
ATOMIC_SPECIES
Na 22.99 Na.upf
Ni 58.69 Ni.upf
Te 127.60 Te.upf
O 16.00 O.upf
ATOMIC_POSITIONS angstrom
Na 1.979 1.979 1.979
Na 5.938 5.938 5.938
Ni 0.000 0.000 0.000
Te 3.958 3.958 3.958
O 3.958 3.958 2.043
O 3.958 2.043 3.958
O 5.874 3.958 3.958
O 2.043 3.958 3.958
O 3.958 5.874 3.958
O 3.958 3.958 5.874
CELL_PARAMETERS angstrom
0.000 3.958 3.958
3.958 0.000 3.958
3.958 3.958 0.000
! Final energy (eV per atom): -4.80